No. 1
Material: HoErGa2Ni4
Method: DFT, GGA-PBE
State: optimized geometry

Properties
* total energy: -5.26 eV per atom
* crystal system: hexagonal

a = 4.1439 Å, b = 4.1439 Å, c = 8.7854 Å
α = 90.00°, β = 90.00°, γ = 120.00°
Element x y z (fractional)
Er (0.0000, 0.0000, 0.5000)
Ga (0.6667, 0.3333, 0.2506)
Ga (0.6667, 0.3333, 0.7494)
Ho (0.3333, 0.6667, 0.0000)
Ni (0.0000, 0.0000, 0.1878)
Ni (0.3333, 0.6667, 0.3139)
Ni (0.3333, 0.6667, 0.6861)
Ni (0.0000, 0.0000, 0.8122)

=====

No. 2
Material: HoEr2Ga3NiSn2
Method: DFT, GGA-PBE
State: optimized geometry

Properties
* total energy: -4.64 eV per atom
* crystal system: orthorhombic

a = 4.2391 Å, b = 7.2461 Å, c = 7.2461 Å
α = 120.13°, β = 90.00°, γ = 90.00°
Element x y z (fractional)
Er (0.0000, 0.9998, 0.3771)
Er (0.0000, 0.3771, 0.9998)
Ga (0.5000, 0.7797, 0.0000)
Ga (0.5000, 0.2210, 0.2210)
Ga (0.5000, 0.0000, 0.7797)
Ho (0.0000, 0.6216, 0.6216)
Ni (0.0000, 0.0012, 0.0012)
Sn (0.5000, 0.6670, 0.3325)
Sn (0.5000, 0.3325, 0.6670)

=====

No. 3
Material: HoErGa4Pt2
Method: DFT, GGA-PBE
State: optimized geometry

Properties
* total energy: -5.10 eV per atom
* crystal system: orthorhombic

a = 6.6968 Å, b = 5.5057 Å, c = 5.5057 Å
α = 46.60°, β = 90.00°, γ = 90.00°
Element x y z (fractional)
Er (0.0000, 0.9159, 0.9159)
Ga (0.3016, 0.3701, 0.3701)
Ga (0.6984, 0.3701, 0.3701)
Ga (0.1977, 0.6302, 0.6302)
Ga (0.8023, 0.6302, 0.6302)
Ho (0.5000, 0.0838, 0.0838)
Pt (0.0000, 0.2044, 0.2044)
Pt (0.5000, 0.7954, 0.7954)